[1]
First-principles (SCAN) data for In2FeIr at its PBEsol-relaxed geometry, as listed in the Alexandria database.

abc: 8.8060 8.8060 8.8060
angles: 19.43 19.43 19.43
Last column: nearest neighbours and their distance in Å.
Fractional positions:
1 In 0.2485 0.2485 0.2485  3 Fe 2.73, 3 Ir 2.79, 6 In 2.97
2 In 0.7515 0.7515 0.7515  3 Fe 2.73, 3 Ir 2.79, 6 In 2.97
3 Fe 0.5000 0.5000 0.5000  6 In 2.73, 6 Fe 2.97
4 Ir 0.0000 0.0000 0.0000  6 In 2.79, 6 Ir 2.97

## Properties
As for the total moment: 2.54 Bohr magnetons per cell. The calculation puts the formation energy at 25 kJ per mole of atoms. The density of states at the Fermi level comes out at 0.666 states/eV per atom. The space group is R-3m.

***

[2]
First-principles (SCAN) data for Rb2Mo2P2O11 at its PBEsol-relaxed geometry, as listed in the Alexandria database.

abc: 9.9382 10.1242 10.0373
angles: 90.00 97.67 90.00
Last column: nearest neighbours and their distance in Å.
Fractional positions:
1 Rb 0.0003 0.0000 0.2494  8 O 2.76-2.88
2 Rb 0.9997 0.5000 0.7506  8 O 2.76-2.88
3 Rb 0.2334 0.8144 0.9450  7 O 2.92-3.12
4 Rb 0.2358 0.6921 0.4715  6 O 2.88-3.20
5 Rb 0.4923 0.5652 0.2461  6 O 2.79-3.10
6 Rb 0.5077 0.0652 0.7539  6 O 2.79-3.10
7 Rb 0.7642 0.1921 0.5285  6 O 2.88-3.20
8 Rb 0.7666 0.3144 0.0550  7 O 2.92-3.12
9 Mo 0.0764 0.1782 0.9007  2 O 1.70-1.85
10 Mo 0.0796 0.3240 0.3997  2 O 1.70-1.85
11 Mo 0.3456 0.0872 0.3858  2 O 1.69-1.84
12 Mo 0.3470 0.4107 0.8879  2 O 1.69-1.84
13 Mo 0.6530 0.9107 0.1121  2 O 1.69-1.84
14 Mo 0.6544 0.5872 0.6142  2 O 1.69-1.84
15 Mo 0.9204 0.8240 0.6003  2 O 1.70-1.85
16 Mo 0.9236 0.6782 0.0993  2 O 1.70-1.85
17 P 0.1246 0.0787 0.6071  4 O 1.55
18 P 0.1290 0.4230 0.1079  4 O 1.55
19 P 0.3948 0.1205 0.0683  4 O 1.54-1.56
20 P 0.3976 0.3746 0.5687  4 O 1.54-1.56
21 P 0.6024 0.8746 0.4313  4 O 1.54-1.56
22 P 0.6052 0.6205 0.9317  4 O 1.54-1.56
23 P 0.8710 0.9230 0.8921  4 O 1.55
24 P 0.8754 0.5787 0.3929  4 O 1.55
25 O 0.0233 0.9815 0.5268  1 P 1.55
26 O 0.0293 0.5211 0.0270  1 P 1.55
27 O 0.0682 0.2199 0.5767  1 P 1.55
28 O 0.0704 0.7614 0.6761  1 Mo 1.70
29 O 0.0709 0.2823 0.0786  1 P 1.55
30 O 0.0734 0.7418 0.1734  1 Mo 1.70
31 O 0.1307 0.0519 0.7601  1 P 1.55
32 O 0.1353 0.4509 0.2608  1 P 1.55
33 O 0.1947 0.3056 0.8540  2 Mo 1.84-1.85
34 O 0.1962 0.1950 0.3523  2 Mo 1.84-1.85
35 O 0.2430 0.0913 0.0254  1 P 1.54
36 O 0.2464 0.4056 0.5258  1 P 1.54
37 O 0.2697 0.0545 0.5719  1 P 1.55
38 O 0.2749 0.4450 0.0730  1 P 1.55
39 O 0.2810 0.9416 0.3247  1 Mo 1.69
40 O 0.2843 0.5553 0.8222  1 Mo 1.69
41 O 0.4288 0.1447 0.2217  1 P 1.55
42 O 0.4301 0.3495 0.7228  1 P 1.56
43 O 0.4432 0.2399 0.9905  1 P 1.55
44 O 0.4451 0.2515 0.4964  1 P 1.55
45 O 0.4713 0.9947 0.0283  1 P 1.56
46 O 0.4749 0.4994 0.5288  1 P 1.56
47 O 0.5251 0.9994 0.4712  1 P 1.56
48 O 0.5287 0.4947 0.9717  1 P 1.56
49 O 0.5549 0.7515 0.5036  1 P 1.55
50 O 0.5568 0.7399 0.0095  1 P 1.55
51 O 0.5699 0.8495 0.2772  1 P 1.56
52 O 0.5712 0.6447 0.7783  1 P 1.55
53 O 0.7157 0.0553 0.1778  1 Mo 1.69
54 O 0.7190 0.4416 0.6753  1 Mo 1.69
55 O 0.7251 0.9450 0.9270  1 P 1.55
56 O 0.7303 0.5545 0.4281  1 P 1.55
57 O 0.7536 0.9056 0.4742  1 P 1.54
58 O 0.7570 0.5913 0.9746  1 P 1.54
59 O 0.8038 0.6950 0.6477  2 Mo 1.84-1.85
60 O 0.8053 0.8056 0.1460  2 Mo 1.84-1.85
61 O 0.8647 0.9509 0.7392  1 P 1.55
62 O 0.8693 0.5519 0.2399  1 P 1.55
63 O 0.9266 0.2418 0.8266  1 Mo 1.70
64 O 0.9291 0.7823 0.9214  1 P 1.55
65 O 0.9296 0.2614 0.3239  1 Mo 1.70
66 O 0.9318 0.7199 0.4233  1 P 1.55
67 O 0.9707 0.0211 0.9730  1 P 1.55
68 O 0.9767 0.4815 0.4732  1 P 1.55

## Properties
As for the total moment: 0.08 Bohr magnetons per cell. The space group is P2_1. The uncorrected formation energy is -2381.9 meV per atom.

***

> Which of these has the highest total moment?

In2FeIr